# 1
A plane-wave DFT calculation with PBE-GGA was carried out for crystalline Na2Tl8Bi at its relaxed geometry.

CIF file:
```
data_Na2Tl8Bi
_chemical_formula_sum 'Na4 Tl16 Bi2'
_cell_length_a 17.874
_cell_length_b 6.536
_cell_length_c 6.372
_cell_angle_alpha 90.00
_cell_angle_beta 108.03
_cell_angle_gamma 90.00
_symmetry_space_group_name_H-M 'C 1 2/m 1'
_symmetry_Int_Tables_number 12
_symmetry_space_group_name_Hall '-C 2y'
loop_
_atom_site_label
_atom_site_fract_x
_atom_site_fract_y
_atom_site_fract_z
Na1 0.188 0.000 0.332
Tl1 0.081 0.500 0.214
Tl2 0.090 0.252 0.698
Tl3 0.241 0.500 0.096
Bi1 0.000 0.000 0.000
```

Results
- DFT formation energy: -0.91 kcal/mol of atoms
- Excess energy over the best structure of this formula in the dataset: 0.000 eV per formula unit


# 2
A plane-wave DFT calculation with PBE-GGA was carried out for crystalline Na2Tl4Bi3 at its relaxed geometry.

CIF file:
```
data_Na2Tl4Bi3
_chemical_formula_sum 'Na2 Tl4 Bi3'
_cell_length_a 5.5466
_cell_length_b 5.5466
_cell_length_c 10.3933
_cell_angle_alpha 90.00
_cell_angle_beta 90.00
_cell_angle_gamma 120.00
_symmetry_space_group_name_H-M 'P -3 m 1'
_symmetry_Int_Tables_number 164
_symmetry_space_group_name_Hall '-P 3 2"'
loop_
_atom_site_label
_atom_site_fract_x
_atom_site_fract_y
_atom_site_fract_z
Na1 0.3333 0.6667 0.2661
Tl1 0.0000 0.0000 0.1725
Tl2 0.3333 0.6667 0.6023
Bi1 0.0000 0.0000 0.5000
Bi2 0.3333 0.6667 0.9284
```

Results
- DFT formation energy: -3.17 kcal/mol of atoms
- Excess energy over the best structure of this formula in the dataset: 0.000 eV per formula unit


# 3
A plane-wave DFT calculation with PBE-GGA was carried out for crystalline Na5Tl5Bi at its relaxed geometry.

CIF file:
```
data_Na5Tl5Bi
_chemical_formula_sum 'Na5 Tl5 Bi1'
_cell_length_a 6.1322
_cell_length_b 6.1322
_cell_length_c 11.1287
_cell_angle_alpha 90.00
_cell_angle_beta 90.00
_cell_angle_gamma 120.00
_symmetry_space_group_name_H-M 'P -6 m 2'
_symmetry_Int_Tables_number 187
_symmetry_space_group_name_Hall 'P -6 2'
loop_
_atom_site_label
_atom_site_fract_x
_atom_site_fract_y
_atom_site_fract_z
Na1 0.0000 0.0000 0.0000
Na2 0.3333 0.6667 0.3120
Na3 0.6667 0.3333 0.1634
Tl1 0.0000 0.0000 0.2613
Tl2 0.3409 0.1705 0.5000
Bi1 0.3333 0.6667 0.0000
```

Results
- DFT formation energy: -0.90 kcal/mol of atoms


# 4
A plane-wave DFT calculation with PBE-GGA was carried out for crystalline Na2Tl4Bi at its relaxed geometry.

CIF file:
```
data_Na2Tl4Bi
_chemical_formula_sum 'Na4 Tl8 Bi2'
_cell_length_a 6.199
_cell_length_b 6.199
_cell_length_c 15.874
_cell_angle_alpha 90.00
_cell_angle_beta 90.00
_cell_angle_gamma 90.00
_symmetry_space_group_name_H-M 'I 4/m m m'
_symmetry_Int_Tables_number 139
_symmetry_space_group_name_Hall '-I 4 2'
loop_
_atom_site_label
_atom_site_fract_x
_atom_site_fract_y
_atom_site_fract_z
Na1 0.000 0.000 0.107
Tl1 0.000 0.000 0.307
Tl2 0.000 0.500 0.000
Bi1 0.000 0.000 0.500
```

Results
- DFT formation energy: 4.45 kcal/mol of atoms
- Excess energy over the best structure of this formula in the dataset: 2.048 eV per formula unit


# 5
A plane-wave DFT calculation with PBE-GGA was carried out for crystalline Na3Tl7Bi2 at its relaxed geometry.

CIF file:
```
data_Na3Tl7Bi2
_chemical_formula_sum 'Na3 Tl7 Bi2'
_cell_length_a 5.632
_cell_length_b 6.738
_cell_length_c 9.924
_cell_angle_alpha 102.36
_cell_angle_beta 91.07
_cell_angle_gamma 94.76
_symmetry_space_group_name_H-M 'P -1'
_symmetry_Int_Tables_number 2
_symmetry_space_group_name_Hall '-P 1'
loop_
_atom_site_label
_atom_site_fract_x
_atom_site_fract_y
_atom_site_fract_z
Na1 0.000 0.000 0.000
Na2 0.015 0.249 0.659
Tl1 0.000 0.500 0.000
Tl2 0.488 0.908 0.180
Tl3 0.489 0.746 0.502
Tl4 0.498 0.600 0.835
Bi1 0.001 0.762 0.687
```

Results
- DFT formation energy: -2.44 kcal/mol of atoms
- Excess energy over the best structure of this formula in the dataset: 0.000 eV per formula unit


# 6
A plane-wave DFT calculation with PBE-GGA was carried out for crystalline Na3Tl3Bi at its relaxed geometry.

CIF file:
```
data_Na3Tl3Bi
_chemical_formula_sum 'Na18 Tl18 Bi6'
_cell_length_a 8.4503
_cell_length_b 8.4503
_cell_length_c 22.0421
_cell_angle_alpha 90.00
_cell_angle_beta 90.00
_cell_angle_gamma 120.00
_symmetry_space_group_name_H-M 'R -3'
_symmetry_Int_Tables_number 148
_symmetry_space_group_name_Hall '-R 3'
loop_
_atom_site_label
_atom_site_fract_x
_atom_site_fract_y
_atom_site_fract_z
Na1 0.0169 0.2625 0.2143
Tl1 0.0575 0.7948 0.6334
Bi1 0.0000 0.0000 0.1027
```

Results
- DFT formation energy: -2.12 kcal/mol of atoms
- Excess energy over the best structure of this formula in the dataset: 0.623 eV per formula unit


- Which of these has the highest DFT formation energy?
  Na2Tl4Bi